# TmCo13, relaxed, DFT GGA-PBE
# - E_form: -0.038 eV/atom
# - Magnetization: 163.173 μB per cell
# - Mass density: 8.9 Mg/m³
# - V: 1391.95 Å³/cell
data_TmCo13
_cell_length_a 11.1654
_cell_length_b 11.1654
_cell_length_c 11.1654
_cell_angle_alpha 90.00
_cell_angle_beta 90.00
_cell_angle_gamma 90.00
_symmetry_space_group_name_H-M 'F m -3 c'
_symmetry_Int_Tables_number 226
_symmetry_space_group_name_Hall '-F 4a 2 3'
loop_
_atom_site_label
_atom_site_fract_x
_atom_site_fract_y
_atom_site_fract_z
Tm1 0.2500 0.2500 0.2500
Co1 0.0000 0.0000 0.0000
Co2 0.0000 0.1198 0.1778